Compound: PmDyTmSn
Source: Alexandria
Functional: PBE-GGA
Structure: optimized geometry

## Properties
Density of states at the Fermi level (states/eV per cell): 7.02
Formation energy from the elements (eV/atom): -0.199
V (Å³/f.u.): 112.2

Unit cell a=5.414 b=5.414 c=5.414 alpha=60.00 beta=60.00 gamma=60.00
Last column: magnetic moment on the atom in μB.
Atoms (fractional coordinates):
1 Tm 0.500 0.500 0.500  0.13
2 Pm 0.750 0.750 0.750  0.14
3 Sn 0.250 0.250 0.250  -0.01
4 Dy 0.000 0.000 0.000  0.12

***

Compound: NbV2Fe
Source: Alexandria
Functional: PBE-GGA
Structure: optimized geometry

## Properties
Density of states at the Fermi level (states/eV per cell): 3.07
Formation energy from the elements (eV/atom): -0.018
V (Å³/f.u.): 56.0
Polymorph energy (0 for the lowest one) (kJ/mol of formula units): 9

Unit cell a=3.029 b=3.029 c=6.101 alpha=90.00 beta=90.00 gamma=90.00
Last column: magnetic moment on the atom in μB.
Atoms (fractional coordinates):
1 Nb 0.500 0.500 0.500  0.04
2 Fe 0.500 0.500 0.000  1.27
3 V 0.000 0.000 0.769  -0.42
4 V 0.000 0.000 0.231  -0.42

***

Compound: Hf4Pt9Rh2
Source: Alexandria
Functional: PBE-GGA
Structure: optimized geometry

## Properties
Density of states at the Fermi level (states/eV per cell): 10.85
Formation energy from the elements (eV/atom): -0.877
V (Å³/f.u.): 248.5

Unit cell a=5.010 b=5.010 c=14.367 alpha=73.29 beta=106.71 gamma=133.48
Atoms (fractional coordinates):
1 Hf 0.334 0.666 0.372
2 Hf 0.666 0.334 0.628
3 Hf 0.666 0.334 0.840
4 Hf 0.334 0.666 0.160
5 Pt 0.000 0.000 0.300
6 Pt 0.000 0.000 0.700
7 Pt 0.996 0.004 0.896
8 Pt 0.004 0.996 0.104
9 Pt 0.331 0.669 0.568
10 Pt 0.669 0.331 0.432
11 Pt 0.663 0.337 0.034
12 Pt 0.337 0.663 0.966
13 Pt 0.000 0.000 0.500
14 Rh 0.323 0.677 0.767
15 Rh 0.677 0.323 0.233

***

The lowest density of states at the Fermi level belongs to which entry?
NbV2Fe